# Th3AlC3 PBE-GGA relaxed
# * final energy: -8.00 eV/atom
# * V: 18.95 A^3/atom
data_Th3AlC3
_cell_length_a 3.8125
_cell_length_b 3.8125
_cell_length_c 9.1246
_cell_angle_alpha 90.00
_cell_angle_beta 90.00
_cell_angle_gamma 90.00
_symmetry_space_group_name_H-M 'P 4/m m m'
_symmetry_Int_Tables_number 123
_symmetry_space_group_name_Hall '-P 4 2'
loop_
_atom_site_label
_atom_site_type_symbol
_atom_site_fract_x
_atom_site_fract_y
_atom_site_fract_z
Th1 Th 0.0000 0.0000 0.0000
Th2 Th 0.5000 0.5000 0.2859
Al1 Al 0.0000 0.0000 0.5000
C1 C 0.0000 0.0000 0.2759
C2 C 0.5000 0.5000 0.0000



# CoBr3 PBE-GGA relaxed
# * final energy: -3.18 eV/atom
# * E_form (uncorrected): -0.60 eV/f.u.
# * V: 23.79 A^3/atom
data_CoBr3
_cell_length_a 6.2982
_cell_length_b 6.2982
_cell_length_c 16.6213
_cell_angle_alpha 90.00
_cell_angle_beta 90.00
_cell_angle_gamma 120.00
_symmetry_space_group_name_H-M 'R -3 c'
_symmetry_Int_Tables_number 167
_symmetry_space_group_name_Hall '-R 3 2"c'
loop_
_atom_site_label
_atom_site_type_symbol
_atom_site_fract_x
_atom_site_fract_y
_atom_site_fract_z
Co1 Co 0.0000 0.0000 0.0000
Br1 Br 0.0000 0.3517 0.2500



# MgMo2Os PBE-GGA relaxed
# * final energy: -8.34 eV/atom
# * V: 15.99 A^3/atom
data_MgMo2Os
_cell_length_a 3.1425
_cell_length_b 3.1425
_cell_length_c 6.4775
_cell_angle_alpha 90.00
_cell_angle_beta 90.00
_cell_angle_gamma 90.00
_symmetry_space_group_name_H-M 'P 4 m m'
_symmetry_Int_Tables_number 99
_symmetry_space_group_name_Hall 'P 4 -2'
loop_
_atom_site_label
_atom_site_type_symbol
_atom_site_fract_x
_atom_site_fract_y
_atom_site_fract_z
Mg1 Mg 0.0000 0.0000 0.0000
Mo1 Mo 0.0000 0.0000 0.5143
Mo2 Mo 0.5000 0.5000 0.2771
Os1 Os 0.5000 0.5000 0.7431